# 1
VASP calculation (PBE) on crystalline Rb2SbPb2 at its relaxed geometry.

The energy above the most stable polymorph in this dataset comes out at 64.2 meV per atom. The value obtained for the total magnetization is 0.00 μB/cell. For the formation energy from raw total energies, the calculation gives -132 meV/atom.

The structure belongs to space group P4/mbm (No. 127); the cell edges are 8.2067, 8.2067 and 6.1097 Å and the angles 90.00°, 90.00° and 90.00°. The distinct sites, in fractional coordinates, are Rb at (0.1830, 0.3170, 0.0000), Sb at (0.0000, 0.0000, 0.5000) and Pb at (0.1329, 0.6329, 0.5000).

***

# 2
VASP calculation (PBE) on crystalline SrEuCdNi at its relaxed geometry.

The value obtained for the formation energy is -0.0441 eV/atom. The value obtained for the total magnetization is 28.77 μB/cell.

The structure belongs to space group F-43m (No. 216); the cell edges are 7.6024, 7.6024 and 7.6024 Å and the angles 90.00°, 90.00° and 90.00°. The distinct sites, in fractional coordinates, are Sr at (0.0000, 0.0000, 0.0000), Eu at (0.0000, 0.0000, 0.5000), Cd at (0.2500, 0.2500, 0.7500) and Ni at (0.2500, 0.2500, 0.2500).

***

# 3
VASP calculation (PBE) on crystalline KNaNpCl5 at its relaxed geometry.

The value obtained for the total magnetization is 16.00 μB/cell. For the formation energy from raw total energies, the calculation gives -1791 meV/atom.

The structure belongs to space group C2/c (No. 15); the cell edges are 8.9587, 12.9219 and 10.1594 Å and the angles 90.00°, 112.23° and 90.00°. The distinct sites, in fractional coordinates, are K at (0.0000, 0.1488, 0.2500), Na at (0.0000, 0.1852, 0.7500), Np at (0.0000, 0.5000, 0.0000), Cl at (0.0000, 0.4116, 0.2500), Cl at (0.1234, 0.3118, 0.6110) and Cl at (0.1874, 0.0526, 0.9459).

***

# 4
VASP calculation (PBE) on crystalline LaMoN3 at its relaxed geometry.

The value obtained for the total magnetization is 0.82 μB/cell. For the formation energy from raw total energies, the calculation gives -480 meV/atom.

The structure belongs to space group P6_3/mmc (No. 194); the cell edges are 3.6964, 3.6964 and 12.4043 Å and the angles 90.00°, 90.00° and 120.00°. The distinct sites, in fractional coordinates, are La at (0.0000, 0.0000, 0.0000), Mo at (0.3333, 0.6667, 0.2500), N at (0.0000, 0.0000, 0.2500) and N at (0.3333, 0.6667, 0.0960).

***

# 5
VASP calculation (PBE) on crystalline Li6PrAg6 at its relaxed geometry.

The value obtained for the formation energy is -0.1533 eV/atom. The energy above the most stable polymorph in this dataset comes out at 9.5 meV per atom. The value obtained for the total magnetization is 0.00 μB/cell.

The structure belongs to space group Immm (No. 71); the cell edges are 5.3197, 9.3739 and 9.3952 Å and the angles 90.00°, 90.00° and 90.00°. The distinct sites, in fractional coordinates, are Li at (0.0000, 0.2311, 0.0000), Li at (0.2500, 0.2500, 0.2500), Pr at (0.0000, 0.5000, 0.5000), Ag at (0.0000, 0.0000, 0.2111), Ag at (0.0000, 0.1528, 0.5000) and Ag at (0.0000, 0.5000, 0.1509).

***

# 6
VASP calculation (PBE) on crystalline GaCoNi5 at its relaxed geometry.

The value obtained for the formation energy is 0.0884 eV/atom. The value obtained for the total magnetization is 4.30 μB/cell.

The structure belongs to space group P4/mmm (No. 123); the cell edges are 3.5680, 3.5680 and 6.6827 Å and the angles 90.00°, 90.00° and 90.00°. The distinct sites, in fractional coordinates, are Ga at (0.0000, 0.0000, 0.0000), Co at (0.0000, 0.0000, 0.5000), Ni at (0.0000, 0.5000, 0.2716) and Ni at (0.5000, 0.5000, 0.0000).

***

# 7
VASP calculation (PBE) on crystalline CaPm2Sn at its relaxed geometry.

The value obtained for the formation energy is -0.2862 eV/atom. The energy above the most stable polymorph in this dataset comes out at 112.0 meV per atom. The value obtained for the total magnetization is 0.00 μB/cell.

The structure belongs to space group Fm-3m (No. 225); the cell edges are 7.8387, 7.8387 and 7.8387 Å and the angles 90.00°, 90.00° and 90.00°. The distinct sites, in fractional coordinates, are Ca at (0.0000, 0.0000, 0.0000), Pm at (0.2500, 0.2500, 0.2500) and Sn at (0.0000, 0.0000, 0.5000).

***

# 8
VASP calculation (PBE) on crystalline Cr2RhN at its relaxed geometry.

The value obtained for the total magnetization is 0.01 μB/cell. For the formation energy from raw total energies, the calculation gives -243 meV/atom.

The structure belongs to space group R-3m (No. 166, hexagonal axes); the cell edges are 2.8354, 2.8354 and 18.9819 Å and the angles 90.00°, 90.00° and 120.00°. The distinct sites, in fractional coordinates, are Cr at (0.0000, 0.0000, 0.2201), Rh at (0.0000, 0.0000, 0.0000) and N at (0.0000, 0.0000, 0.5000).

***

# 9
VASP calculation (PBE) on crystalline RbCeBi2O6 at its relaxed geometry.

The value obtained for the total magnetization is 0.00 μB/cell. For the formation energy from raw total energies, the calculation gives -1723 meV/atom.

The structure belongs to space group C2/c (No. 15); the cell edges are 10.6155, 12.9881 and 7.6263 Å and the angles 90.00°, 117.78° and 90.00°. The distinct sites, in fractional coordinates, are Rb at (0.0000, 0.1056, 0.2500), Ce at (0.0000, 0.2050, 0.7500), Bi at (0.1448, 0.4261, 0.1818), O at (0.0975, 0.2775, 0.0325), O at (0.1250, 0.0956, 0.6934) and O at (0.1268, 0.4581, 0.4652).

***

# 10
VASP calculation (PBE) on crystalline Ac2GaAu5 at its relaxed geometry.

The value obtained for the formation energy is -0.5961 eV/atom. The value obtained for the total magnetization is 0.00 μB/cell.

The structure belongs to space group I4mm (No. 107); the cell edges are 6.6969, 6.6969 and 9.3984 Å and the angles 90.00°, 90.00° and 90.00°. The distinct sites, in fractional coordinates, are Ac at (0.0000, 0.5000, 0.0000), Ga at (0.0000, 0.0000, 0.2066), Au at (0.0000, 0.0000, 0.9363) and Au at (0.2274, 0.2274, 0.7417).

***

# 11
VASP calculation (PBE) on crystalline MgPaInAu at its relaxed geometry.

The value obtained for the formation energy is -0.1914 eV/atom. The value obtained for the total magnetization is 2.78 μB/cell.

The structure belongs to space group F-43m (No. 216); the cell edges are 7.1591, 7.1591 and 7.1591 Å and the angles 90.00°, 90.00° and 90.00°. The distinct sites, in fractional coordinates, are Mg at (0.0000, 0.0000, 0.0000), Pa at (0.0000, 0.0000, 0.5000), In at (0.2500, 0.2500, 0.2500) and Au at (0.2500, 0.2500, 0.7500).

***

# 12
VASP calculation (PBE) on crystalline TaAuSe3 at its relaxed geometry.

The energy above the most stable polymorph in this dataset comes out at 1614.2 meV per atom. The value obtained for the total magnetization is 0.00 μB/cell. For the formation energy from raw total energies, the calculation gives 1138 meV/atom.

The structure belongs to space group Pm-3m (No. 221); the cell edges are 4.9485, 4.9485 and 4.9485 Å and the angles 90.00°, 90.00° and 90.00°. The distinct sites, in fractional coordinates, are Ta at (0.0000, 0.0000, 0.0000), Au at (0.5000, 0.5000, 0.5000) and Se at (0.0000, 0.5000, 0.5000).

***

| no. | DOS(E_F) (states/eV per cell) |
| --- | --- |
| 1 | 4.05 |
| 2 | 39.40 |
| 3 | 22.92 |
| 4 | 4.83 |
| 5 | 10.15 |
| 6 | 7.26 |
| 7 | 21.39 |
| 8 | 13.83 |
| 9 | 10.64 |
| 10 | 5.96 |
| 11 | 18.50 |
| 12 | 11.89 |